--- 1 ---
Entry from Alexandria via LeMat-Bulk: a relaxed structure of NiPdPt3 (PBE-GGA).

```
20
Lattice="7.375 0.000 0.000 0.000 8.205 0.000 -1.788 0.000 5.057" Properties=species:S:1:pos:R:3 pbc="T T T"
Ni 0.892 1.831 0.686
Ni -0.002 2.272 3.214
Ni 5.588 5.934 1.843
Ni 4.694 6.374 4.372
Pd 0.484 5.841 3.268
Pd 1.378 6.467 0.739
Pd 4.208 1.739 4.318
Pd 5.103 2.364 1.790
Pt -0.993 0.035 3.890
Pt -0.099 4.068 1.361
Pt 1.500 0.174 2.678
Pt 2.394 3.929 0.150
Pt 3.297 1.288 0.079
Pt 2.403 2.815 2.607
Pt 3.183 5.391 2.450
Pt 2.289 6.917 4.979
Pt 3.193 4.277 4.908
Pt 4.087 8.032 2.379
Pt 5.685 4.137 3.696
Pt 6.580 8.171 1.168
```

Properties
DOS at the Fermi energy (states/eV per cell): 32.4

***

--- 2 ---
Entry from Alexandria via LeMat-Bulk: a relaxed structure of NiPdPt3 (PBE-GGA).

```
5
Lattice="4.522 0.000 0.000 0.000 4.522 0.000 0.000 0.000 4.522" Properties=species:S:1:pos:R:3 pbc="T T T"
Ni 0.000 0.000 0.000
Pd 2.261 2.261 2.261
Pt 0.000 0.000 2.261
Pt 0.000 2.261 0.000
Pt 2.261 0.000 0.000
```

Properties
DOS at the Fermi energy (states/eV per cell): 10.3

***

Of them, the most stable is 1 and the least stable is 2.

***

--- 1 ---
Entry from Alexandria via LeMat-Bulk: a relaxed structure of Ni3PdPt3 (PBE-GGA).

```
7
Lattice="4.162 2.403 1.695 -4.162 2.403 1.695 0.000 -4.806 1.695" Properties=species:S:1:pos:R:3 pbc="T T T"
Ni -2.081 -1.202 1.695
Ni -2.081 1.202 3.390
Ni 0.000 2.403 1.695
Pd 0.000 0.000 2.542
Pt -4.162 0.000 2.542
Pt -2.081 1.202 0.847
Pt 2.081 1.202 0.847
```

Properties
DOS at the Fermi energy (states/eV per cell): 11.0

***

--- 2 ---
Entry from Alexandria via LeMat-Bulk: a relaxed structure of Ni3PdPt3 (PBE-GGA).

```
14
Lattice="3.565 2.058 4.382 -3.565 2.058 4.382 0.000 -4.116 4.382" Properties=species:S:1:pos:R:3 pbc="T T T"
Ni -0.985 -1.146 5.521
Ni -1.485 0.280 7.625
Ni -0.500 1.426 5.521
Ni 0.500 -1.426 7.625
Ni 1.485 -0.280 5.521
Ni 0.985 1.146 7.625
Pd 0.000 0.000 3.392
Pd 0.000 0.000 9.754
Pt -2.956 0.557 5.484
Pt -1.960 -2.281 7.662
Pt 0.996 -2.838 5.484
Pt -0.996 2.838 7.662
Pt 1.960 2.281 5.484
Pt 2.956 -0.557 7.662
```

Properties
DOS at the Fermi energy (states/eV per cell): 23.9

***

Of them, the most stable is 2 and the least stable is 1.

***

--- 1 ---
Entry from Alexandria via LeMat-Bulk: a relaxed structure of NiPd2Pt2 (PBE-GGA).

```
5
Lattice="-2.458 2.458 3.761 2.458 -2.458 3.761 2.458 2.458 -3.761" Properties=species:S:1:pos:R:3 pbc="T T T"
Ni 0.000 0.000 0.000
Pd 0.000 0.000 2.537
Pd 0.000 0.000 4.985
Pt 2.458 0.000 1.880
Pt 0.000 2.458 1.880
```

Properties
DOS at the Fermi energy (states/eV per cell): 9.4

***

--- 2 ---
Entry from Alexandria via LeMat-Bulk: a relaxed structure of NiPd2Pt2 (PBE-GGA).

```
5
Lattice="1.383 0.798 11.186 -1.383 0.798 11.186 0.000 -1.597 11.186" Properties=species:S:1:pos:R:3 pbc="T T T"
Ni 0.000 0.000 0.000
Pd 0.000 0.000 4.437
Pd 0.000 0.000 29.120
Pt 0.000 0.000 13.259
Pt 0.000 0.000 20.299
```

Properties
DOS at the Fermi energy (states/eV per cell): 8.4

***

Of them, the most stable is 2 and the least stable is 1.